No. 1
{
  "formula": "CePmHgTe",
  "functional": "PBE",
  "state": "optimized geometry",
  "sg": "F-43m",
  "magnetic_moment_mub_per_atom": 0.4930,
  "total_energy_ev_per_cell": -16.870,
  "relative_energy_kj_per_mol_fu": 46,
  "lattice": [[5.422, 0.000, 0.000], [2.711, 4.696, 0.000], [2.711, 1.565, 4.427]],
  "species": ["Te", "Hg", "Ce", "Pm"],
  "frac_coords": [[0.250, 0.250, 0.250], [0.750, 0.750, 0.750], [0.000, 0.000, 0.000], [0.500, 0.500, 0.500]]
}

No. 2
{
  "formula": "Sm3Al4Sn2",
  "functional": "PBE",
  "state": "optimized geometry",
  "sg": "C2/m",
  "delta_e_f_ev_per_atom": -0.511,
  "magnetic_moment_mub_per_atom": 0.0000,
  "total_energy_ev_per_cell": -41.731,
  "lattice": [[4.486, 0.000, 0.000], [-2.243, 5.526, -1.463], [0.000, -0.067, 8.817]],
  "species": ["Sm", "Sm", "Sm", "Al", "Al", "Al", "Al", "Sn", "Sn"],
  "frac_coords": [[0.664, 0.329, 0.670], [0.000, 0.000, 0.000], [0.336, 0.671, 0.330], [0.735, 0.470, 0.056], [0.265, 0.530, 0.944], [0.957, 0.914, 0.616], [0.043, 0.086, 0.384], [0.617, 0.235, 0.280], [0.383, 0.765, 0.720]]
}

| no. | DOS at the Fermi energy (states/eV per atom) |
| --- | --- |
| 1 | 2.490 |
| 2 | 0.463 |